# 1
Computed, not measured: a geometry-optimized Sr2YUO6 structure at the PBE-GGA level of DFT.

Cell lengths 5.9916, 6.1264, 8.5484 Å; angles 90.00, 90.01, 90.00 degrees
Last column: nearest neighbours and their distance in Å.
Positions (direct):
O 0.1963 0.2117 0.0555  1 U 2.17, 1 Y 2.28
O 0.6963 0.2883 0.5555  1 U 2.17, 1 Y 2.28
O 0.2894 0.6974 0.0507  1 U 2.16, 1 Y 2.28
O 0.4006 0.9620 0.7427  1 U 2.17, 1 Y 2.29
O 0.0994 0.4620 0.7573  1 U 2.17, 1 Y 2.29
O 0.7894 0.8026 0.5507  1 U 2.16, 1 Y 2.28
O 0.3037 0.7117 0.4445  1 U 2.17, 1 Y 2.28
O 0.5994 0.0380 0.2573  1 U 2.17, 1 Y 2.29
O 0.2106 0.1974 0.4493  1 U 2.16, 1 Y 2.28
O 0.8037 0.7883 0.9445  1 U 2.17, 1 Y 2.28
O 0.9006 0.5380 0.2427  1 U 2.17, 1 Y 2.29
O 0.7106 0.3026 0.9493  1 U 2.16, 1 Y 2.28
Sr 0.4887 0.4566 0.2492  4 O 2.52-2.65
Sr 0.5113 0.5434 0.7508  4 O 2.52-2.65
Sr 0.0113 0.9566 0.2508  4 O 2.52-2.65
Sr 0.9887 0.0434 0.7492  4 O 2.52-2.65
U 0.0000 0.5000 0.0000  6 O 2.16-2.17
U 0.5000 0.0000 0.5000  6 O 2.16-2.17
Y 0.0000 0.5000 0.5000  6 O 2.28-2.29
Y 0.5000 0.0000 0.0000  6 O 2.28-2.29

---

# 2
Computed, not measured: a geometry-optimized Sr2YbUO6 structure at the PBE-GGA level of DFT.

Cell lengths 6.1371, 6.1371, 6.1371 Å; angles 60.00, 60.00, 60.00 degrees
Last column: nearest neighbours and their distance in Å.
Positions (direct):
O 0.7580 0.2420 0.7580  1 U 2.10, 1 Yb 2.24
O 0.2420 0.7580 0.2420  1 U 2.10, 1 Yb 2.24
O 0.7580 0.2420 0.2420  1 U 2.10, 1 Yb 2.24
O 0.7580 0.7580 0.2420  1 U 2.10, 1 Yb 2.24
O 0.2420 0.7580 0.7580  1 U 2.10, 1 Yb 2.24
O 0.2420 0.2420 0.7580  1 U 2.10, 1 Yb 2.24
Sr 0.2500 0.2500 0.2500  12 O 3.07
Sr 0.7500 0.7500 0.7500  12 O 3.07
U 0.0000 0.0000 0.0000  6 O 2.10
Yb 0.5000 0.5000 0.5000  6 O 2.24

---

# 3
Computed, not measured: a geometry-optimized Sr2ZrUO6 structure at the PBE-GGA level of DFT.

Cell lengths 5.9494, 6.0498, 8.4600 Å; angles 90.00, 89.84, 90.00 degrees
Last column: nearest neighbours and their distance in Å.
Positions (direct):
U 0.5000 0.0000 0.5000  6 O 2.23-2.24
U 0.0000 0.5000 0.0000  6 O 2.23-2.24
O 0.7015 0.2877 0.9517  1 Zr 2.15, 1 U 2.23
O 0.2870 0.7031 0.4521  1 Zr 2.14, 1 U 2.24
O 0.9096 0.5298 0.2555  1 Zr 2.15, 1 U 2.23
O 0.5904 0.0298 0.2445  1 Zr 2.15, 1 U 2.23
O 0.7870 0.7969 0.9521  1 Zr 2.14, 1 U 2.24
O 0.4096 0.9702 0.7555  1 Zr 2.15, 1 U 2.23
O 0.7130 0.2969 0.5479  1 Zr 2.14, 1 U 2.24
O 0.2985 0.7123 0.0483  1 Zr 2.15, 1 U 2.23
O 0.7985 0.7877 0.5483  1 Zr 2.15, 1 U 2.23
O 0.2015 0.2123 0.4517  1 Zr 2.15, 1 U 2.23
O 0.0904 0.4702 0.7445  1 Zr 2.15, 1 U 2.23
O 0.2130 0.2031 0.0479  1 Zr 2.14, 1 U 2.24
Sr 0.9904 0.0398 0.7497  4 O 2.53-2.67
Sr 0.4904 0.4602 0.2497  4 O 2.53-2.67
Sr 0.0096 0.9602 0.2503  4 O 2.53-2.67
Sr 0.5096 0.5398 0.7503  4 O 2.53-2.67
Zr 0.5000 0.0000 0.0000  6 O 2.14-2.15
Zr 0.0000 0.5000 0.5000  6 O 2.14-2.15

---

# 4
Computed, not measured: a geometry-optimized SrZrUO6 structure at the PBE-GGA level of DFT.

Cell lengths 5.7110, 5.7110, 10.4137 Å; angles 90.00, 90.00, 120.00 degrees
Last column: nearest neighbours and their distance in Å.
Positions (direct):
U 0.3333 0.6667 0.7500  6 O 2.09
U 0.6667 0.3333 0.2500  6 O 2.09
O 0.6313 0.6270 0.1450  1 U 2.09, 1 Zr 2.13
O 0.3687 0.9956 0.6450  1 U 2.09, 1 Zr 2.13
O 0.9956 0.6270 0.3550  1 U 2.09, 1 Zr 2.13
O 0.0044 0.3730 0.6450  1 U 2.09, 1 Zr 2.13
O 0.9956 0.3687 0.1450  1 U 2.09, 1 Zr 2.13
O 0.6270 0.6313 0.6450  1 U 2.09, 1 Zr 2.13
O 0.3687 0.3730 0.8550  1 U 2.09, 1 Zr 2.13
O 0.0044 0.6313 0.8550  1 U 2.09, 1 Zr 2.13
O 0.6313 0.0044 0.3550  1 U 2.09, 1 Zr 2.13
O 0.3730 0.3687 0.3550  1 U 2.09, 1 Zr 2.13
O 0.3730 0.0044 0.1450  1 U 2.09, 1 Zr 2.13
O 0.6270 0.9956 0.8550  1 U 2.09, 1 Zr 2.13
Sr 0.0000 0.0000 0.0000  6 O 2.60
Sr 0.0000 0.0000 0.5000  6 O 2.60
Zr 0.3333 0.6667 0.2500  6 O 2.13
Zr 0.6667 0.3333 0.7500  6 O 2.13

---

Calculated formation energy without anion corrections (eV per atom), listed in the same order as above: -3.273; -3.041; -3.148; -3.220
Calculated total magnetization (μB/f.u.), listed in the same order as above: 1.00; 0.05; 2.00; 0.00
Calculated E_tot (eV per atom), listed in the same order as above: -8.359; -7.634; -8.443; -8.916